Pu2PaHg6 | Alexandria via LeMat-Bulk | PBE | optimized geometry; crystal system = hexagonal; space-group type = No. 191; E_form = 435 meV per atom
1.0
4.447 -7.702 0.000
4.447 7.702 0.000
0.000 0.000 2.993
Pu Hg Pa
2 6 1
Direct
0.667 0.333 0.000 Pu
0.333 0.667 0.000 Pu
0.666 0.000 0.500 Hg
0.666 0.666 0.500 Hg
0.334 0.334 0.500 Hg
0.000 0.666 0.500 Hg
0.334 0.000 0.500 Hg
0.000 0.334 0.500 Hg
0.000 0.000 0.000 Pa